Computed, not measured: a relaxed MnOs2PbO8 crystal at the PBE with a Hubbard U level of DFT.

Cell: 5.902 5.902 6.995 Å, 90.00 90.00 120.00°
Positions (direct):
1 Mn 0.000 0.000 0.000
2 Os 0.333 0.667 0.263
3 Os 0.667 0.333 0.737
4 Pb 0.000 0.000 0.500
5 O 0.158 0.837 0.204
6 O 0.163 0.321 0.204
7 O 0.321 0.158 0.796
8 O 0.333 0.667 0.519
9 O 0.667 0.333 0.481
10 O 0.679 0.842 0.204
11 O 0.837 0.679 0.796
12 O 0.842 0.163 0.796

Values from the calculation:
Electronic total energy ... -7.0821 eV/atom
V ... 211.0 Å³ per cell
Total magnetization ... 8.950 μB per formula unit